(1)
Cs14Nd2S9 | PBE | relaxed

Lattice parameters (Å, degrees): 9.8813 9.8813 13.7644 90.00 90.00 120.00
Closest atoms and distances in Å follow each position.
Atoms (fractional coordinates):
S: 0.2813 0.8974 0.3387  1 Nd 2.74
S: 0.3333 0.6667 0.0743  1 Nd 2.72
S: 0.0000 0.0000 0.0000  8 Cs 3.46-3.66
S: 0.8974 0.6161 0.6613  1 Nd 2.74
S: 0.6667 0.3333 0.9257  1 Nd 2.72
S: 0.7187 0.1026 0.6613  1 Nd 2.74
S: 0.1026 0.3839 0.3387  1 Nd 2.74
S: 0.3839 0.2813 0.6613  1 Nd 2.74
S: 0.6161 0.7187 0.3387  1 Nd 2.74
Cs: 0.6976 0.0950 0.4027  4 S 3.50-3.68
Cs: 0.3974 0.3024 0.4027  4 S 3.50-3.68
Cs: 0.0000 0.0000 0.2511  4 S 3.46-3.61
Cs: 0.0950 0.3974 0.5973  4 S 3.50-3.68
Cs: 0.6795 0.6313 0.0925  4 S 3.62-3.69
Cs: 0.9518 0.3205 0.0925  4 S 3.62-3.69
Cs: 0.0000 0.0000 0.7489  4 S 3.46-3.61
Cs: 0.9050 0.6026 0.4027  4 S 3.50-3.68
Cs: 0.6026 0.6976 0.5973  4 S 3.50-3.68
Cs: 0.3024 0.9050 0.5973  4 S 3.50-3.68
Cs: 0.0482 0.6795 0.9075  4 S 3.62-3.69
Cs: 0.3205 0.3687 0.9075  4 S 3.62-3.69
Cs: 0.3687 0.0482 0.0925  4 S 3.62-3.69
Cs: 0.6313 0.9518 0.9075  4 S 3.62-3.69
Nd: 0.3333 0.6667 0.2717  4 S 2.72-2.74
Nd: 0.6667 0.3333 0.7283  4 S 2.72-2.74

Results
volume = 1163.89 Å³ per cell
SG = P-3
formation energy without anion corrections = -2779 kJ/mol of formula units

(2)
NaInC | PBE | relaxed

Lattice parameters (Å, degrees): 4.9252 6.5867 6.5869 43.91 68.04 68.05
Closest atoms and distances in Å follow each position.
Atoms (fractional coordinates):
C: 0.9435 0.0565 0.0565  1 C 1.26
C: 0.0565 0.9435 0.9435  1 C 1.26
In: 0.7410 0.2590 0.2590  1 C 2.26
In: 0.2590 0.7410 0.7410  1 C 2.26
Na: 0.5000 0.0000 0.0000  4 C 2.54
Na: 0.0000 0.5000 0.5000  4 C 2.54

Results
calculated formation energy = 0.30 eV per atom
volume = 135.62 Å³ per cell
SG = I4/mmm

Number 2 is which compound?
NaInC